{"formula": "Dy3Hg2Pd8", "functional": "PBE", "state": "relaxed", "spacegroup": "R-3m, No. 166", "m_tot_mub_per_atom": 0.00, "e_tot_ev_per_atom": -4.81, "cell": [[5.391, 0.000, 0.000], [2.695, 4.668, 0.000], [2.695, 1.556, 10.279]], "species": ["Dy", "Dy", "Dy", "Hg", "Hg", "Pd", "Pd", "Pd", "Pd", "Pd", "Pd", "Pd", "Pd"], "frac_coords": [[0.000, 0.000, 0.000], [0.811, 0.811, 0.567], [0.189, 0.189, 0.433], [0.636, 0.636, 0.092], [0.364, 0.364, 0.908], [0.722, 0.722, 0.834], [0.278, 0.278, 0.166], [0.226, 0.730, 0.315], [0.730, 0.226, 0.315], [0.730, 0.730, 0.315], [0.270, 0.774, 0.685], [0.774, 0.270, 0.685], [0.270, 0.270, 0.685]]}


{"formula": "DyHg2Pd", "functional": "PBE", "state": "relaxed", "spacegroup": "I4/mmm, No. 139", "m_tot_mub_per_atom": 0.00, "e_tot_ev_per_atom": -3.10, "cell": [[4.408, 0.000, -1.222], [-0.339, 4.395, -1.222], [0.147, 0.159, 9.088]], "species": ["Dy", "Dy", "Hg", "Hg", "Hg", "Hg", "Pd", "Pd"], "frac_coords": [[0.141, 0.141, 0.282], [0.859, 0.859, 0.718], [0.000, 0.500, 0.000], [0.500, 0.000, 0.000], [0.357, 0.357, 0.714], [0.643, 0.643, 0.286], [0.250, 0.750, 0.500], [0.750, 0.250, 0.500]]}


{"formula": "Dy3HgPd6", "functional": "PBE", "state": "relaxed", "spacegroup": "Cmcm, No. 63", "m_tot_mub_per_atom": 0.00, "e_tot_ev_per_atom": -5.21, "cell": [[4.472, 0.000, 0.000], [0.000, 9.922, -0.863], [0.000, -3.055, 9.479]], "species": ["Dy", "Dy", "Dy", "Dy", "Dy", "Dy", "Hg", "Hg", "Pd", "Pd", "Pd", "Pd", "Pd", "Pd", "Pd", "Pd", "Pd", "Pd", "Pd", "Pd"], "frac_coords": [[0.498, 0.935, 0.726], [0.998, 0.726, 0.935], [0.999, 0.410, 0.590], [0.499, 0.590, 0.410], [0.998, 0.065, 0.274], [0.498, 0.274, 0.065], [0.999, 0.210, 0.790], [0.499, 0.790, 0.210], [0.999, 0.719, 0.619], [0.499, 0.619, 0.719], [0.498, 0.537, 0.947], [0.998, 0.947, 0.537], [0.498, 0.955, 0.045], [0.499, 0.310, 0.690], [0.999, 0.690, 0.310], [0.998, 0.045, 0.955], [0.498, 0.053, 0.463], [0.998, 0.463, 0.053], [0.999, 0.381, 0.281], [0.499, 0.281, 0.381]]}


{"formula": "Dy4HgPd", "functional": "PBE", "state": "relaxed", "spacegroup": "P2_1/c, No. 14", "m_tot_mub_per_atom": 0.00, "e_tot_ev_per_atom": -4.27, "relative_energy_mev_per_atom": 219, "cell": [[-0.957, -6.934, -0.440], [3.029, -0.825, 6.415], [-6.376, 1.090, 3.151]], "species": ["Dy", "Dy", "Dy", "Dy", "Dy", "Dy", "Dy", "Dy", "Hg", "Hg", "Pd", "Pd"], "frac_coords": [[0.871, 0.649, 0.170], [0.629, 0.149, 0.830], [0.326, 0.342, 0.351], [0.174, 0.842, 0.649], [0.129, 0.351, 0.830], [0.371, 0.851, 0.170], [0.674, 0.658, 0.649], [0.826, 0.158, 0.351], [0.000, 0.000, 0.000], [0.500, 0.500, 0.000], [0.500, 0.000, 0.500], [0.000, 0.500, 0.500]]}


{"formula": "Dy2Hg2Pd5", "functional": "PBE", "state": "relaxed", "spacegroup": "Ima2, No. 46", "m_tot_mub_per_atom": 0.00, "e_tot_ev_per_atom": -4.40, "cell": [[7.378, 0.000, 0.000], [0.000, 6.827, 0.000], [-3.689, -3.414, 7.575]], "species": ["Dy", "Dy", "Dy", "Dy", "Hg", "Hg", "Hg", "Hg", "Pd", "Pd", "Pd", "Pd", "Pd", "Pd", "Pd", "Pd", "Pd", "Pd"], "frac_coords": [[0.056, 0.669, 0.241], [0.944, 0.427, 0.759], [0.685, 0.169, 0.241], [0.315, 0.927, 0.759], [0.000, 0.919, 0.000], [0.500, 0.419, 0.000], [0.271, 0.448, 0.500], [0.729, 0.948, 0.500], [0.330, 0.765, 0.017], [0.670, 0.749, 0.983], [0.187, 0.265, 0.017], [0.813, 0.249, 0.983], [0.341, 0.043, 0.323], [0.659, 0.720, 0.677], [0.482, 0.543, 0.323], [0.518, 0.220, 0.677], [0.921, 0.596, 0.500], [0.079, 0.096, 0.500]]}


{"formula": "DyHg2Pd5", "functional": "PBE", "state": "relaxed", "spacegroup": "C2/m, No. 12", "m_tot_mub_per_atom": 0.00, "e_tot_ev_per_atom": -4.39, "relative_energy_mev_per_atom": 0, "cell": [[3.968, 0.000, -1.488], [-0.560, 3.927, -1.493], [0.894, 1.018, 8.418]], "species": ["Dy", "Hg", "Hg", "Pd", "Pd", "Pd", "Pd", "Pd"], "frac_coords": [[0.000, 0.000, 0.000], [0.253, 0.253, 0.505], [0.747, 0.747, 0.495], [0.500, 0.500, 0.000], [0.625, 0.125, 0.250], [0.125, 0.626, 0.250], [0.375, 0.875, 0.750], [0.875, 0.374, 0.750]]}


{"formula": "Dy5Hg4Pd", "functional": "PBE", "state": "relaxed", "spacegroup": "P4/mmm, No. 123", "m_tot_mub_per_atom": 0.01, "e_tot_ev_per_atom": -3.50, "cell": [[3.667, 0.000, 0.000], [0.000, 3.667, 0.000], [0.000, 0.000, 18.475]], "species": ["Dy", "Dy", "Dy", "Dy", "Dy", "Hg", "Hg", "Hg", "Hg", "Pd"], "frac_coords": [[0.500, 0.500, 0.090], [0.500, 0.500, 0.295], [0.500, 0.500, 0.500], [0.500, 0.500, 0.705], [0.500, 0.500, 0.910], [0.000, 0.000, 0.195], [0.000, 0.000, 0.397], [0.000, 0.000, 0.603], [0.000, 0.000, 0.805], [0.000, 0.000, 0.000]]}


{"formula": "DyHg3Pd", "functional": "PBE", "state": "relaxed", "spacegroup": "I-4m2, No. 119", "m_tot_mub_per_atom": 0.00, "e_tot_ev_per_atom": -2.19, "cell": [[5.494, 0.000, 0.000], [0.000, 5.494, 0.000], [-2.747, -2.747, 9.341]], "species": ["Dy", "Dy", "Hg", "Hg", "Hg", "Hg", "Hg", "Hg", "Pd", "Pd"], "frac_coords": [[0.553, 0.053, 0.105], [0.947, 0.447, 0.895], [0.623, 0.875, 0.750], [0.125, 0.872, 0.250], [0.125, 0.377, 0.250], [0.128, 0.875, 0.750], [0.306, 0.306, 0.611], [0.694, 0.694, 0.389], [0.000, 0.000, 0.000], [0.250, 0.750, 0.500]]}


{"formula": "DyHg4Pd7", "functional": "PBE", "state": "relaxed", "spacegroup": "C2/m, No. 12", "m_tot_mub_per_atom": 0.00, "e_tot_ev_per_atom": -3.69, "cell": [[-2.801, -4.229, -0.285], [3.921, -6.018, 5.466], [-4.363, -0.426, 3.921]], "species": ["Dy", "Hg", "Hg", "Hg", "Hg", "Pd", "Pd", "Pd", "Pd", "Pd", "Pd", "Pd"], "frac_coords": [[0.000, 0.000, 0.000], [0.584, 0.232, 0.600], [0.416, 0.768, 0.400], [0.739, 0.678, 0.844], [0.261, 0.322, 0.156], [0.789, 0.921, 0.502], [0.211, 0.079, 0.498], [0.042, 0.634, 0.283], [0.958, 0.366, 0.717], [0.346, 0.539, 0.768], [0.500, 0.000, 0.000], [0.654, 0.461, 0.232]]}


{"formula": "Dy5Hg2Pd", "functional": "PBE", "state": "relaxed", "spacegroup": "Pbam, No. 55", "m_tot_mub_per_atom": 0.00, "e_tot_ev_per_atom": -4.06, "cell": [[-4.873, 0.043, 0.975], [-0.214, -6.882, -0.768], [2.387, -1.412, 11.993]], "species": ["Dy", "Dy", "Dy", "Dy", "Dy", "Dy", "Dy", "Dy", "Dy", "Dy", "Hg", "Hg", "Hg", "Hg", "Pd", "Pd"], "frac_coords": [[0.000, 0.000, 0.500], [0.000, 0.500, 0.000], [0.000, 0.861, 0.213], [0.000, 0.139, 0.787], [0.000, 0.639, 0.713], [0.000, 0.361, 0.287], [0.500, 0.673, 0.408], [0.500, 0.327, 0.592], [0.500, 0.827, 0.908], [0.500, 0.173, 0.092], [0.500, 0.596, 0.158], [0.500, 0.404, 0.842], [0.500, 0.904, 0.658], [0.500, 0.096, 0.342], [0.000, 0.500, 0.500], [0.000, 0.000, 0.000]]}


{"formula": "Dy2HgPd", "functional": "PBE", "state": "relaxed", "spacegroup": "R3m, No. 160", "m_tot_mub_per_atom": 0.00, "e_tot_ev_per_atom": -4.22, "relative_energy_mev_per_atom": 142, "cell": [[4.043, 0.000, 0.000], [2.022, 3.502, 0.000], [2.022, 1.167, 7.555]], "species": ["Dy", "Dy", "Hg", "Pd"], "frac_coords": [[0.071, 0.071, 0.786], [0.262, 0.262, 0.213], [0.501, 0.501, 0.498], [0.666, 0.666, 0.003]]}


{"formula": "Dy4HgPd", "functional": "PBE", "state": "relaxed", "spacegroup": "F-43m, No. 216", "m_tot_mub_per_atom": 0.00, "e_tot_ev_per_atom": -4.49, "relative_energy_mev_per_atom": 0, "cell": [[1.974, -3.598, 8.729], [5.404, -7.946, 0.832], [8.946, 0.603, 3.554]], "species": ["Dy", "Dy", "Dy", "Dy", "Dy", "Dy", "Dy", "Dy", "Dy", "Dy", "Dy", "Dy", "Dy", "Dy", "Dy", "Dy", "Hg", "Hg", "Hg", "Hg", "Pd", "Pd", "Pd", "Pd"], "frac_coords": [[0.393, 0.393, 0.393], [0.820, 0.393, 0.393], [0.393, 0.820, 0.393], [0.393, 0.393, 0.820], [0.561, 0.561, 0.939], [0.939, 0.939, 0.561], [0.561, 0.939, 0.561], [0.939, 0.561, 0.939], [0.939, 0.561, 0.561], [0.561, 0.939, 0.939], [0.185, 0.185, 0.815], [0.815, 0.815, 0.185], [0.185, 0.815, 0.185], [0.815, 0.185, 0.815], [0.815, 0.185, 0.185], [0.185, 0.815, 0.815], [0.163, 0.163, 0.163], [0.510, 0.163, 0.163], [0.163, 0.510, 0.163], [0.163, 0.163, 0.510], [0.604, 0.604, 0.604], [0.187, 0.604, 0.604], [0.604, 0.187, 0.604], [0.604, 0.604, 0.187]]}


{"formula": "Dy2Hg2Pd7", "functional": "PBE", "state": "relaxed", "spacegroup": "C2/m, No. 12", "m_tot_mub_per_atom": 0.00, "e_tot_ev_per_atom": -4.74, "cell": [[5.062, -1.109, -1.268], [-1.578, 6.787, 0.559], [-1.578, -0.349, 6.801]], "species": ["Dy", "Dy", "Hg", "Hg", "Pd", "Pd", "Pd", "Pd", "Pd", "Pd", "Pd"], "frac_coords": [[0.000, 0.195, 0.805], [0.000, 0.805, 0.195], [0.095, 0.351, 0.351], [0.905, 0.649, 0.649], [0.666, 0.927, 0.414], [0.334, 0.586, 0.073], [0.334, 0.073, 0.586], [0.666, 0.414, 0.927], [0.500, 0.000, 0.000], [0.500, 0.732, 0.732], [0.500, 0.268, 0.268]]}


{"formula": "Dy2HgPd", "functional": "PBE", "state": "relaxed", "spacegroup": "R-3m, No. 166", "m_tot_mub_per_atom": 0.00, "e_tot_ev_per_atom": -3.75, "relative_energy_mev_per_atom": 614, "cell": [[3.400, 0.000, 0.000], [1.700, 2.944, 0.000], [1.700, 0.981, 10.292]], "species": ["Hg", "Pd", "Dy", "Dy"], "frac_coords": [[0.500, 0.500, 0.500], [0.000, 0.000, 0.000], [0.085, 0.085, 0.746], [0.915, 0.915, 0.254]]}


{"formula": "Dy5HgPd2", "functional": "PBE", "state": "relaxed", "spacegroup": "I4/mcm, No. 140", "m_tot_mub_per_atom": 0.00, "e_tot_ev_per_atom": -4.80, "cell": [[2.271, 2.992, -6.913], [0.594, -7.269, -2.951], [-7.743, 2.416, 2.979]], "species": ["Dy", "Dy", "Dy", "Dy", "Dy", "Dy", "Dy", "Dy", "Dy", "Dy", "Hg", "Hg", "Pd", "Pd", "Pd", "Pd"], "frac_coords": [[0.518, 0.700, 0.717], [0.800, 0.982, 0.283], [0.000, 0.000, 0.000], [0.500, 0.500, 0.000], [0.200, 0.018, 0.717], [0.700, 0.200, 0.717], [0.018, 0.518, 0.717], [0.300, 0.800, 0.283], [0.982, 0.482, 0.283], [0.482, 0.300, 0.283], [0.750, 0.750, 0.500], [0.250, 0.250, 0.500], [0.134, 0.366, 0.000], [0.634, 0.134, 0.000], [0.366, 0.866, 0.000], [0.866, 0.634, 0.000]]}


{"formula": "Dy2Hg2Pd15", "functional": "PBE", "state": "relaxed", "spacegroup": "R-3m, No. 166", "m_tot_mub_per_atom": 0.00, "e_tot_ev_per_atom": -4.94, "cell": [[7.026, 0.055, 0.049], [0.966, 6.960, 0.049], [0.966, 0.848, 6.908]], "species": ["Dy", "Dy", "Hg", "Hg", "Pd", "Pd", "Pd", "Pd", "Pd", "Pd", "Pd", "Pd", "Pd", "Pd", "Pd", "Pd", "Pd", "Pd", "Pd"], "frac_coords": [[0.352, 0.352, 0.352], [0.648, 0.648, 0.648], [0.102, 0.102, 0.102], [0.898, 0.898, 0.898], [0.500, 0.000, 0.000], [0.000, 0.000, 0.500], [0.000, 0.500, 0.000], [0.000, 0.680, 0.320], [0.680, 0.320, 0.000], [0.320, 0.000, 0.680], [0.320, 0.680, 0.000], [0.680, 0.000, 0.320], [0.000, 0.320, 0.680], [0.166, 0.655, 0.655], [0.655, 0.655, 0.166], [0.655, 0.166, 0.655], [0.834, 0.345, 0.345], [0.345, 0.345, 0.834], [0.345, 0.834, 0.345]]}


{"formula": "Dy3Hg2Pd", "functional": "PBE", "state": "relaxed", "spacegroup": "P4/mmm, No. 123", "m_tot_mub_per_atom": 0.00, "e_tot_ev_per_atom": -3.88, "cell": [[3.647, 0.000, 0.000], [0.000, 3.647, 0.000], [0.000, 0.000, 10.957]], "species": ["Dy", "Dy", "Dy", "Hg", "Hg", "Pd"], "frac_coords": [[0.000, 0.000, 0.000], [0.000, 0.000, 0.652], [0.000, 0.000, 0.348], [0.500, 0.500, 0.830], [0.500, 0.500, 0.170], [0.500, 0.500, 0.500]]}


{"formula": "Dy8HgPd2", "functional": "PBE", "state": "relaxed", "spacegroup": "Cm, No. 8", "m_tot_mub_per_atom": 0.00, "e_tot_ev_per_atom": -4.62, "relative_energy_mev_per_atom": 97, "cell": [[-5.096, -0.821, -1.924], [3.987, -4.812, -5.033], [-1.028, -2.872, 7.422]], "species": ["Dy", "Dy", "Dy", "Dy", "Dy", "Dy", "Dy", "Dy", "Hg", "Pd", "Pd"], "frac_coords": [[0.585, 0.335, 0.087], [0.585, 0.087, 0.335], [0.189, 0.390, 0.390], [0.000, 0.239, 0.767], [0.000, 0.767, 0.239], [0.810, 0.616, 0.616], [0.414, 0.919, 0.671], [0.414, 0.671, 0.919], [0.002, 0.003, 0.003], [0.500, 0.701, 0.305], [0.500, 0.305, 0.701]]}


{"formula": "Dy4Hg2Pd", "functional": "PBE", "state": "relaxed", "spacegroup": "R-3m, No. 166", "m_tot_mub_per_atom": 0.00, "e_tot_ev_per_atom": -3.88, "cell": [[-2.975, -1.549, 3.853], [-3.268, -3.866, -0.691], [3.830, -7.227, 3.438]], "species": ["Dy", "Dy", "Dy", "Dy", "Hg", "Hg", "Pd"], "frac_coords": [[0.878, 0.878, 0.365], [0.122, 0.122, 0.635], [0.628, 0.628, 0.117], [0.372, 0.372, 0.883], [0.756, 0.756, 0.733], [0.244, 0.244, 0.267], [0.000, 0.000, 0.000]]}


{"formula": "Dy3HgPd", "functional": "PBE", "state": "relaxed", "spacegroup": "Cmmm, No. 65", "m_tot_mub_per_atom": 0.00, "e_tot_ev_per_atom": -4.26, "cell": [[3.869, -0.001, -0.001], [0.001, 8.912, 0.205], [0.002, 3.291, 8.286]], "species": ["Dy", "Dy", "Dy", "Dy", "Dy", "Dy", "Hg", "Hg", "Pd", "Pd"], "frac_coords": [[0.864, 0.384, 0.823], [0.864, 0.004, 0.669], [0.863, 0.617, 0.056], [0.363, 0.029, 0.081], [0.863, 0.771, 0.437], [0.363, 0.360, 0.412], [0.363, 0.694, 0.746], [0.863, 0.194, 0.247], [0.363, 0.694, 0.246], [0.364, 0.194, 0.746]]}